(1)
The following is a PBE calculation of an optimized crystal structure of CaMg, from Alexandria.

magnetic moment	0.00	μB/atom
raw total energy	-1.83	eV per atom
symmetry	P4/nmm, No. 129
energy relative to the elements	-0.035	eV/atom

POSCAR file:
```
CaMg
1.0
3.864 0.000 0.000
0.000 3.864 0.000
0.000 0.000 8.519
Mg Ca
2 2
direct
0.250 0.250 0.592
0.750 0.750 0.408
0.250 0.250 0.164
0.750 0.750 0.836
```

---

(2)
The following is a PBE calculation of an optimized crystal structure of SiTcHg4, from Alexandria.

magnetic moment	0.48	μB/atom
raw total energy	-1.88	eV per atom
symmetry	F-43m, No. 216

POSCAR file:
```
SiTcHg4
1.0
0.000 4.049 4.049
4.049 0.000 4.049
4.049 4.049 0.000
Hg Si Tc
4 1 1
direct
0.375 0.375 0.375
0.875 0.375 0.375
0.375 0.875 0.375
0.375 0.375 0.875
0.750 0.750 0.750
0.000 0.000 0.000
```

---

(3)
The following is a PBE calculation of an optimized crystal structure of BaLiFeTe2, from Alexandria.

magnetic moment	0.53	μB/atom
raw total energy	-4.24	eV per atom
symmetry	P4/mmm, No. 123

POSCAR file:
```
BaLiFeTe2
1.0
-3.886 -0.511 -3.711
1.637 -5.042 -1.019
-2.997 -1.653 3.365
Te Ba Li Fe
2 1 1 1
direct
0.500 0.000 0.000
0.000 0.500 0.000
0.500 0.500 0.500
0.000 0.000 0.500
0.000 0.000 0.000
```

---

(4)
The following is a PBE calculation of an optimized crystal structure of NaBiPb2Br8, from Alexandria.

magnetic moment	0.00	μB/atom
raw total energy	-3.12	eV per atom
symmetry	P2/m, No. 10

POSCAR file:
```
NaBiPb2Br8
1.0
7.192 0.020 -0.004
0.064 6.868 -0.008
0.006 0.010 8.956
Na Br Pb Bi
1 8 2 1
direct
0.000 0.000 0.500
0.152 0.766 0.240
0.153 0.766 0.760
0.848 0.234 0.760
0.340 0.266 0.500
0.330 0.239 0.000
0.847 0.234 0.240
0.660 0.734 0.500
0.670 0.761 0.000
0.500 0.500 0.744
0.500 0.500 0.256
0.000 0.000 0.000
```

---

(5)
The following is a PBE calculation of an optimized crystal structure of Ba2HfPd, from Alexandria.

magnetic moment	0.00	μB/atom
raw total energy	-4.15	eV per atom
symmetry	Fm-3m, No. 225
energy relative to the elements	0.595	eV/atom

POSCAR file:
```
Ba2HfPd
1.0
3.351 1.879 4.182
-1.894 0.045 5.354
2.125 -3.652 3.795
Ba Pd Hf
2 1 1
direct
0.750 0.750 0.750
0.250 0.250 0.250
0.000 0.000 0.000
0.500 0.500 0.500
```

---

(6)
The following is a PBE calculation of an optimized crystal structure of CaMgCu2, from Alexandria.

magnetic moment	0.00	μB/atom
raw total energy	-2.92	eV per atom
symmetry	P4/nmm, No. 129
energy relative to the elements	0.023	eV/atom

POSCAR file:
```
CaMgCu2
1.0
3.418 0.000 0.000
0.000 3.418 0.000
0.000 0.000 14.299
Mg Ca Cu
2 2 4
direct
0.000 0.500 0.650
0.500 0.000 0.350
0.500 0.000 0.833
0.000 0.500 0.167
0.000 0.000 0.500
0.000 0.500 0.967
0.500 0.000 0.033
0.500 0.500 0.500
```

---

(7)
The following is a PBE calculation of an optimized crystal structure of CeZnPdPb, from Alexandria.

magnetic moment	0.15	μB/atom
raw total energy	-4.47	eV per atom
symmetry	F-43m, No. 216
energy relative to the elements	-0.443	eV/atom

POSCAR file:
```
CeZnPdPb
1.0
4.973 0.000 0.000
2.486 4.307 0.000
2.486 1.436 4.060
Ce Pb Pd Zn
1 1 1 1
direct
0.000 0.000 0.000
0.500 0.500 0.500
0.250 0.250 0.250
0.750 0.750 0.750
```

---

(8)
The following is a PBE calculation of an optimized crystal structure of AcTm2N, from Alexandria.

magnetic moment	0.00	μB/atom
raw total energy	-6.01	eV per atom
symmetry	R-3m, No. 166

POSCAR file:
```
AcTm2N
1.0
3.483 0.000 0.000
1.741 3.016 0.000
1.741 1.005 9.796
N Tm Ac
1 2 1
direct
0.500 0.500 0.500
0.122 0.122 0.633
0.878 0.878 0.367
0.000 0.000 0.000
```

---

(9)
The following is a PBE calculation of an optimized crystal structure of TaNb2CuH, from Alexandria.

magnetic moment	0.00	μB/atom
raw total energy	-7.84	eV per atom
symmetry	P4/mmm, No. 123

POSCAR file:
```
TaNb2CuH
1.0
4.017 0.000 0.000
0.000 4.017 0.000
0.000 0.000 4.332
Cu Nb H Ta
1 2 1 1
direct
0.500 0.500 0.500
0.000 0.500 0.000
0.500 0.000 0.000
0.000 0.000 0.000
0.000 0.000 0.500
```

---

(10)
The following is a PBE calculation of an optimized crystal structure of TlTcPt2, from Alexandria.

magnetic moment	0.00	μB/atom
raw total energy	-6.02	eV per atom
symmetry	Pmmm, No. 47
energy relative to the elements	0.182	eV/atom

POSCAR file:
```
TlTcPt2
1.0
-1.294 -1.224 2.275
3.591 -0.343 1.858
-0.739 5.230 2.393
Tc Pt Tl
1 2 1
direct
0.500 0.500 0.250
0.000 0.000 0.022
0.000 0.000 0.478
0.500 0.500 0.750
```

---

(11)
The following is a PBE calculation of an optimized crystal structure of SbOsRu2, from Alexandria.

magnetic moment	0.00	μB/atom
raw total energy	-8.19	eV per atom
symmetry	I-4m2, No. 119

POSCAR file:
```
SbOsRu2
1.0
-3.154 -3.580 0.626
1.469 -3.800 -2.561
2.321 2.773 3.175
Ru Sb Os
2 1 1
direct
0.000 0.000 0.000
0.250 0.750 0.500
0.500 0.500 0.000
0.750 0.250 0.500
```

---

(12)
The following is a PBE calculation of an optimized crystal structure of SmNbO4F, from Alexandria.

magnetic moment	0.00	μB/atom
raw total energy	-7.94	eV per atom
symmetry	C2/m, No. 12

POSCAR file:
```
SmNbO4F
1.0
-2.106 5.350 2.259
-0.554 -0.806 6.100
5.995 2.768 2.014
O F Sm Nb
8 2 2 2
direct
0.567 0.567 0.242
0.494 0.120 0.156
0.880 0.506 0.844
0.699 0.699 0.433
0.506 0.880 0.844
0.120 0.494 0.156
0.433 0.433 0.758
0.301 0.301 0.567
0.011 0.011 0.186
0.989 0.989 0.814
0.194 0.194 0.922
0.806 0.806 0.078
0.372 0.372 0.292
0.628 0.628 0.708
```

---

(13)
The following is a PBE calculation of an optimized crystal structure of Pu2MnGe4Rh3, from Alexandria.

magnetic moment	1.32	μB/atom
raw total energy	-8.36	eV per atom
symmetry	P-4m2, No. 115
energy relative to the elements	-0.526	eV/atom

POSCAR file:
```
Pu2MnGe4Rh3
1.0
-0.844 -3.486 2.133
2.538 1.261 3.064
-7.981 4.775 4.646
Rh Ge Pu Mn
3 4 2 1
direct
0.000 0.500 0.128
0.500 0.000 0.872
0.000 0.000 0.500
0.500 0.500 0.000
0.000 0.500 0.366
0.500 0.000 0.634
0.000 0.000 0.000
0.500 0.000 0.248
0.000 0.500 0.752
0.500 0.500 0.500
```